(1)
VASP calculation (PBE-GGA) on a geometry-optimized Rb3Tm3ScS8 structure.

Results
mass density	4.2	g cm⁻³
density of states at the Fermi level	10.086	states/eV per cell
VASP energy	-5.46	eV/atom
total magnetization	0.00	μB/f.u.
formation energy without anion corrections	-26.2	eV/f.u.
space group	C2/m

abc: 7.859 7.861 9.061
angles: 115.76 90.00 119.99
Positions (direct):
Rb (0.000, 0.000, 0.000)
Rb (0.000, 0.500, 0.000)
Rb (0.500, 0.500, 0.000)
Tm (0.500, 0.000, 0.500)
Tm (0.500, 0.500, 0.500)
Tm (0.000, 0.500, 0.500)
Sc (0.000, 0.000, 0.500)
S (0.270, 0.540, 0.310)
S (0.730, 0.460, 0.690)
S (0.777, 0.554, 0.317)
S (0.223, 0.446, 0.683)
S (0.777, 0.040, 0.317)
S (0.223, 0.960, 0.683)
S (0.263, 0.040, 0.317)
S (0.737, 0.960, 0.683)

(2)
VASP calculation (PBE-GGA) on a geometry-optimized RbTmSc4S8 structure.

Results
mass density	3.3	g cm⁻³
density of states at the Fermi level	0.000	states/eV per cell
VASP energy	-6.29	eV/atom
total magnetization	0.00	μB/f.u.
formation energy without anion corrections	-24.3	eV/f.u.
space group	R3m

abc: 7.833 7.833 8.035
angles: 60.83 60.83 60.00
Positions (direct):
Rb (0.366, 0.366, 0.903)
Tm (0.005, 0.005, 0.986)
Sc (0.627, 0.627, 0.120)
Sc (0.004, 0.484, 0.509)
Sc (0.484, 0.004, 0.509)
Sc (0.004, 0.004, 0.509)
S (0.239, 0.807, 0.716)
S (0.807, 0.239, 0.716)
S (0.239, 0.239, 0.716)
S (0.225, 0.225, 0.325)
S (0.755, 0.235, 0.255)
S (0.235, 0.755, 0.255)
S (0.755, 0.755, 0.255)
S (0.757, 0.757, 0.730)